(1)
PrNdErAl: relaxed, GGA-PBE.

Geometry as POSCAR:
```
PrNdErAl
1.0
0.000 3.863 3.863
3.863 0.000 3.863
3.863 3.863 0.000
Pr Nd Er Al
1 1 1 1
direct
0.000 0.000 0.000
0.500 0.500 0.500
0.750 0.750 0.750
0.250 0.250 0.250
```

## Properties
crystal system	cubic
space group	F-43m

(2)
BaTbDy4Se8: relaxed, GGA-PBE.

Geometry as POSCAR:
```
BaTbDy4Se8
1.0
4.303 2.484 7.046
-4.303 2.484 7.046
0.000 -4.969 7.046
Ba Tb Dy Se
1 1 4 8
direct
0.000 0.000 0.000
0.627 0.627 0.627
0.121 0.627 0.627
0.251 0.251 0.251
0.627 0.121 0.627
0.627 0.627 0.121
0.382 0.382 0.854
0.382 0.854 0.382
0.383 0.383 0.383
0.427 0.859 0.859
0.854 0.382 0.382
0.858 0.858 0.858
0.859 0.427 0.859
0.859 0.859 0.427
```

## Properties
crystal system	trigonal
formation energy (no corrections)	-1.775	eV per atom
space group	R3m

(3)
SmEr3Sc2: relaxed, GGA-PBE.

Geometry as POSCAR:
```
SmEr3Sc2
1.0
11.239 -1.692 0.000
11.239 1.692 0.000
-3.040 0.000 9.368
Sm Er Sc
2 6 4
direct
0.183 0.183 0.045
0.817 0.817 0.955
0.060 0.060 0.436
0.197 0.197 0.709
0.432 0.432 0.231
0.568 0.568 0.769
0.803 0.803 0.291
0.940 0.940 0.564
0.192 0.192 0.375
0.430 0.430 0.859
0.570 0.570 0.141
0.808 0.808 0.625
```

## Properties
crystal system	monoclinic
space group	C2/m

(4)
Tl4AsPb: relaxed, GGA-PBE.

Geometry as POSCAR:
```
Tl4AsPb
1.0
0.000 4.522 4.522
4.522 0.000 4.522
4.522 4.522 0.000
Tl As Pb
4 1 1
direct
0.125 0.125 0.125
0.125 0.125 0.626
0.125 0.626 0.125
0.626 0.125 0.125
0.750 0.750 0.750
0.500 0.500 0.500
```

## Properties
crystal system	cubic
space group	F-43m

(5)
CoSbSI2: relaxed, GGA-PBE.

Geometry as POSCAR:
```
CoSbSI2
1.0
5.617 0.000 0.000
0.000 5.617 0.000
0.000 0.000 5.211
Co Sb S I
1 1 1 2
direct
0.000 0.000 0.000
0.500 0.500 0.000
0.500 0.500 0.500
0.000 0.500 0.500
0.500 0.000 0.500
```

## Properties
crystal system	tetragonal
formation energy (no corrections)	1.099	eV per atom
space group	P4/mmm

(6)
Ho8Te4P3Pt: relaxed, GGA-PBE.

Geometry as POSCAR:
```
Ho8Te4P3Pt
1.0
4.141 2.391 6.985
-4.141 2.391 6.985
0.000 -4.781 6.985
Ho Te P Pt
8 4 3 1
direct
0.237 0.237 0.237
0.237 0.738 0.738
0.262 0.262 0.763
0.262 0.763 0.262
0.738 0.237 0.738
0.738 0.738 0.237
0.763 0.262 0.262
0.763 0.763 0.763
0.000 0.000 0.000
0.000 0.500 0.500
0.500 0.000 0.500
0.500 0.500 0.000
0.000 0.000 0.500
0.000 0.500 0.000
0.500 0.000 0.000
0.500 0.500 0.500
```

## Properties
crystal system	trigonal
formation energy (no corrections)	-1.440	eV per atom
space group	R-3m

(7)
BaMnH8Pt2: relaxed, GGA-PBE.

Geometry as POSCAR:
```
BaMnH8Pt2
1.0
4.618 0.000 0.000
-2.309 4.000 0.000
0.000 0.000 6.965
Ba Mn H Pt
1 1 8 2
direct
0.000 0.000 0.000
0.000 0.000 0.500
0.043 0.709 0.349
0.291 0.335 0.349
0.333 0.667 0.891
0.335 0.043 0.651
0.665 0.957 0.349
0.667 0.333 0.109
0.709 0.665 0.651
0.957 0.291 0.651
0.333 0.667 0.655
0.667 0.333 0.345
```

## Properties
crystal system	trigonal
space group	P-3

(8)
LiBrO2F: relaxed, GGA-PBE.

Geometry as POSCAR:
```
LiBrO2F
1.0
3.880 0.000 0.000
0.000 3.880 0.000
0.000 0.000 3.552
Li Br O F
1 1 2 1
direct
0.000 0.000 0.000
0.500 0.500 0.500
0.000 0.500 0.000
0.500 0.000 0.000
0.000 0.000 0.500
```

## Properties
crystal system	tetragonal
formation energy (no corrections)	0.029	eV per atom
space group	P4/mmm

| no. | Fermi-level density of states (states/eV per atom) | final energy (eV/atom) |
| --- | --- | --- |
| 1 | 1.639 | -4.527 |
| 2 | 0.314 | -5.549 |
| 3 | 1.729 | -5.030 |
| 4 | 0.605 | -2.695 |
| 5 | 1.729 | -2.592 |
| 6 | 0.570 | -5.906 |
| 7 | 0.341 | -4.258 |
| 8 | 0.665 | -3.046 |